{
  "formula": "ScMnPb2",
  "functional": "PBE-GGA",
  "state": "relaxed",
  "ef_ev_per_atom": 0.0858,
  "cell": [[5.297, 0.037, 0.067], [-0.999, 5.202, 0.067], [0.079, 0.096, 3.383]],
  "species": ["Pb", "Pb", "Mn", "Sc"],
  "fractional_positions": [[0.000, 0.000, 0.000], [0.500, 0.500, 0.000], [0.000, 0.500, 0.500], [0.500, 0.000, 0.500]]
}